DFT (PBE with a Hubbard U) results for a geometry-optimized Li2V2OF6 structure.

Unit cell a=6.505 b=6.228 c=7.798 alpha=110.67 beta=101.44 gamma=104.40
Fractional coordinates of all 22 atoms:
1 Li 0.927 0.838 0.163
2 F 0.803 0.014 0.894
3 Li 0.368 0.765 0.061
4 O 0.900 0.620 0.611
5 V 0.198 0.729 0.572
6 F 0.197 0.986 0.106
7 F 0.496 0.714 0.501
8 F 0.504 0.286 0.499
9 Li 0.073 0.162 0.837
10 O 0.100 0.380 0.389
11 V 0.329 0.345 0.278
12 F 0.903 0.175 0.623
13 F 0.251 0.451 0.074
14 V 0.802 0.271 0.428
15 Li 0.632 0.235 0.939
16 V 0.671 0.655 0.722
17 F 0.622 0.336 0.212
18 F 0.322 0.067 0.779
19 F 0.097 0.825 0.377
20 F 0.378 0.664 0.788
21 F 0.749 0.549 0.926
22 F 0.678 0.933 0.221

Computed properties:
DOS(E_F) in states/eV/atom: 0.0000
Space group: P-1 (2)
Relative energy among the computed polymorphs in meV/atom: 4.9